[1]
Computed, not measured: a geometry-optimized La5Ge2Bi2 structure at the GGA-PBE level of DFT.

Its volume is 32.41 Å³ per atom. The formation energy from the elements is -0.90 eV per atom. The total magnetic moment is 0.000 μB per atom.

The structure belongs to space group Cmce (No. 64); the cell edges are 16.259, 8.455 and 8.487 Å and the angles 90.00°, 90.00° and 90.00°. Symmetry generates all atoms from La at (0.000, 0.000, 0.000), La at (0.127, 0.167, 0.335), Ge at (0.000, 0.138, 0.637) and Bi at (0.206, 0.000, 0.000).

***

[2]
Computed, not measured: a geometry-optimized Li3Ga3PtO8 structure at the GGA-PBE level of DFT.

Its volume is 10.20 Å³ per atom. The total magnetic moment is 0.000 μB per atom. Its uncorrected formation energy is -1.6711 eV/atom.

The structure belongs to space group R-3m (No. 166, hexagonal axes); the cell edges are 6.0065, 6.0065 and 14.6968 Å and the angles 90.00°, 90.00° and 120.00°. Symmetry generates all atoms from Li at (0.0000, 0.5000, 0.0000), Ga at (0.0000, 0.5000, 0.5000), Pt at (0.0000, 0.0000, 0.5000), O at (0.0000, 0.0000, 0.2421) and O at (0.9997, 0.4998, 0.2386).

***

[3]
Computed, not measured: a geometry-optimized Zr7Bi2H2Pt structure at the GGA-PBE level of DFT.

Its volume is 19.21 Å³ per atom. The total magnetic moment is 0.000 μB per atom.

The structure belongs to space group C2/m (No. 12); the cell edges are 6.002, 6.003 and 13.132 Å and the angles 90.00°, 103.03° and 90.00°. Symmetry generates all atoms from Zr at (0.000, 0.000, 0.000), Zr at (0.160, 0.250, 0.818), Zr at (0.201, 0.000, 0.407), Bi at (0.178, 0.500, 0.360), H at (0.082, 0.000, 0.165) and Pt at (0.000, 0.500, 0.000).

***

[4]
Computed, not measured: a geometry-optimized HgSeI2 structure at the GGA-PBE level of DFT.

Its volume is 41.79 Å³ per atom. The value obtained for the energy above the lowest structure with this stoichiometry is 31.7 meV per atom. The total magnetic moment is 0.000 μB per atom. Its uncorrected formation energy is -0.1318 eV/atom.

The structure belongs to space group P1 (No. 1); the cell edges are 5.843, 6.878 and 8.642 Å and the angles 89.82°, 76.43° and 82.17°. Symmetry generates all atoms from Hg at (0.000, 0.000, 0.000), Hg at (0.389, 0.438, 0.068), Se at (0.041, 0.612, 0.934), Se at (0.760, 0.245, 0.839), I at (0.148, 0.137, 0.260), I at (0.292, 0.614, 0.633), I at (0.548, 0.979, 0.733) and I at (0.618, 0.631, 0.265).

***

[5]
Computed, not measured: a geometry-optimized EuReSi2 structure at the GGA-PBE level of DFT.

Its volume is 17.50 Å³ per atom. The value obtained for the energy above the lowest structure with this stoichiometry is 44.0 meV per atom. The total magnetic moment is 1.745 μB per atom. Its uncorrected formation energy is -0.2687 eV/atom.

The structure belongs to space group P4/mmm (No. 123); the cell edges are 3.151, 3.151 and 7.052 Å and the angles 90.00°, 90.00° and 90.00°. Symmetry generates all atoms from Eu at (0.000, 0.000, 0.000), Re at (0.000, 0.000, 0.500) and Si at (0.500, 0.500, 0.313).

***

[6]
Computed, not measured: a geometry-optimized Dy2PtPb structure at the GGA-PBE level of DFT.

Its volume is 27.75 Å³ per atom. The formation energy from the elements is -0.74 eV per atom. The total magnetic moment is 0.000 μB per atom.

The structure belongs to space group C2/m (No. 12); the cell edges are 6.819, 4.523 and 7.206 Å and the angles 90.00°, 92.81° and 90.00°. Symmetry generates all atoms from Dy at (0.146, 0.000, 0.295), Pt at (0.000, 0.500, 0.500) and Pb at (0.000, 0.500, 0.000).

***

[7]
Computed, not measured: a geometry-optimized TbSc5Pd4 structure at the GGA-PBE level of DFT.

Its volume is 20.06 Å³ per atom. The formation energy from the elements is -0.70 eV per atom. The total magnetic moment is 0.000 μB per atom.

The structure belongs to space group P4/mmm (No. 123); the cell edges are 3.304, 3.304 and 18.381 Å and the angles 90.00°, 90.00° and 90.00°. Symmetry generates all atoms from Tb at (0.000, 0.000, 0.000), Sc at (0.500, 0.500, 0.137), Sc at (0.500, 0.500, 0.317), Sc at (0.500, 0.500, 0.500), Pd at (0.000, 0.000, 0.227) and Pd at (0.000, 0.000, 0.408).

***

[8]
Computed, not measured: a geometry-optimized MnIrI3 structure at the GGA-PBE level of DFT.

Its volume is 26.81 Å³ per atom. The value obtained for the energy above the lowest structure with this stoichiometry is 825.7 meV per atom. The total magnetic moment is 0.001 μB per atom. Its uncorrected formation energy is 1.4507 eV/atom.

The structure belongs to space group Pm-3m (No. 221); the cell edges are 5.118, 5.118 and 5.118 Å and the angles 90.00°, 90.00° and 90.00°. Symmetry generates all atoms from Mn at (0.000, 0.000, 0.000), Ir at (0.500, 0.500, 0.500) and I at (0.000, 0.000, 0.500).

***

[9]
Computed, not measured: a geometry-optimized Cs3TiSe3 structure at the GGA-PBE level of DFT.

Its volume is 40.68 Å³ per atom. The total magnetic moment is 0.000 μB per atom. Its uncorrected formation energy is -1.2252 eV/atom.

The structure belongs to space group C2/m (No. 12); the cell edges are 9.492, 14.402 and 8.695 Å and the angles 90.00°, 106.59° and 90.00°. Symmetry generates all atoms from Cs at (0.000, 0.175, 0.000), Cs at (0.000, 0.274, 0.500), Cs at (0.113, 0.500, 0.856), Ti at (0.145, 0.000, 0.636), Se at (0.111, 0.000, 0.340) and Se at (0.222, 0.362, 0.231).

***

[10]
Computed, not measured: a geometry-optimized Tb3TaTl3Se8 structure at the GGA-PBE level of DFT.

Its volume is 30.17 Å³ per atom. The total magnetic moment is 0.059 μB per atom. Its uncorrected formation energy is -1.2099 eV/atom.

The structure belongs to space group R-3m (No. 166, hexagonal axes); the cell edges are 8.1144, 8.1144 and 23.8053 Å and the angles 90.00°, 90.00° and 120.00°. Symmetry generates all atoms from Tb at (0.0000, 0.5000, 0.0000), Ta at (0.0000, 0.0000, 0.0000), Tl at (0.0000, 0.5000, 0.5000), Se at (0.0000, 0.0000, 0.2641) and Se at (0.0258, 0.5129, 0.7320).

***

[11]
Computed, not measured: a geometry-optimized LaTb2Pm structure at the GGA-PBE level of DFT.

Its volume is 34.09 Å³ per atom. The formation energy from the elements is 0.11 eV per atom. The value obtained for the energy above the lowest structure with this stoichiometry is 101.8 meV per atom. The total magnetic moment is 0.000 μB per atom.

The structure belongs to space group Fm-3m (No. 225); the cell edges are 8.171, 8.171 and 8.171 Å and the angles 90.00°, 90.00° and 90.00°. Symmetry generates all atoms from La at (0.000, 0.000, 0.000), Tb at (0.250, 0.250, 0.250) and Pm at (0.000, 0.000, 0.500).

***

[12]
Computed, not measured: a geometry-optimized ZrZnNi structure at the GGA-PBE level of DFT.

Its volume is 16.62 Å³ per atom. The formation energy from the elements is -0.01 eV per atom. The total magnetic moment is 0.000 μB per atom.

The structure belongs to space group P3m1 (No. 156); the cell edges are 3.0270, 3.0270 and 6.2823 Å and the angles 90.00°, 90.00° and 120.00°. Symmetry generates all atoms from Zr at (0.0000, 0.0000, 0.0000), Zn at (0.3333, 0.6667, 0.6190) and Ni at (0.6667, 0.3333, 0.3320).

***

[13]
Computed, not measured: a geometry-optimized Cs2NbI4Br2 structure at the GGA-PBE level of DFT.

Its volume is 43.98 Å³ per atom. The total magnetic moment is 0.111 μB per atom. Its uncorrected formation energy is -1.0691 eV/atom.

The structure belongs to space group C2/m (No. 12); the cell edges are 13.898, 8.256 and 6.950 Å and the angles 90.00°, 96.97° and 90.00°. Symmetry generates all atoms from Cs at (0.155, 0.000, 0.279), Nb at (0.000, 0.500, 0.500), I at (0.095, 0.257, 0.744) and Br at (0.141, 0.500, 0.295).

***

[14]
Computed, not measured: a geometry-optimized In2S2O structure at the GGA-PBE level of DFT.

Its volume is 21.67 Å³ per atom. The total magnetic moment is 0.000 μB per atom. Its uncorrected formation energy is -0.7798 eV/atom.

The structure belongs to space group P-1 (No. 2); the cell edges are 3.683, 5.996 and 9.831 Å and the angles 86.69°, 89.97° and 89.99°. Symmetry generates all atoms from In at (0.249, 0.011, 0.305), In at (0.251, 0.481, 0.826), S at (0.250, 0.260, 0.076), S at (0.251, 0.774, 0.597) and O at (0.249, 0.692, 0.241).

***

[15]
Computed, not measured: a geometry-optimized Cs2CuP2 structure at the GGA-PBE level of DFT.

Its volume is 27.11 Å³ per atom. The formation energy from the elements is 0.08 eV per atom. The total magnetic moment is 0.001 μB per atom.

The structure belongs to space group P4/mbm (No. 127); the cell edges are 6.800, 6.800 and 5.864 Å and the angles 90.00°, 90.00° and 90.00°. Symmetry generates all atoms from Cs at (0.180, 0.320, 0.000), Cu at (0.000, 0.000, 0.500) and P at (0.114, 0.614, 0.500).

***

[16]
Computed, not measured: a geometry-optimized Er5TmThSc2 structure at the GGA-PBE level of DFT.

Its volume is 30.38 Å³ per atom. The formation energy from the elements is 0.17 eV per atom. The total magnetic moment is 0.000 μB per atom.

The structure belongs to space group Cmc2_1 (No. 36); the cell edges are 5.563, 21.089 and 9.324 Å and the angles 90.00°, 90.00° and 90.00°. Symmetry generates all atoms from Er at (0.000, 0.010, 0.000), Er at (0.000, 0.265, 0.321), Er at (0.000, 0.306, 0.702), Er at (0.000, 0.390, 0.030), Er at (0.000, 0.469, 0.733), Tm at (0.000, 0.403, 0.408), Th at (0.000, 0.185, 0.009), Sc at (0.000, 0.113, 0.308) and Sc at (0.000, 0.135, 0.692).

***

[17]
Computed, not measured: a geometry-optimized Ac2YRh4Pb3 structure at the GGA-PBE level of DFT.

Its volume is 24.63 Å³ per atom. The formation energy from the elements is -0.51 eV per atom. The total magnetic moment is 0.000 μB per atom.

The structure belongs to space group P-4m2 (No. 115); the cell edges are 4.545, 4.545 and 11.921 Å and the angles 90.00°, 90.00° and 90.00°. Symmetry generates all atoms from Ac at (0.000, 0.500, 0.237), Y at (0.000, 0.000, 0.500), Rh at (0.000, 0.000, 0.000), Rh at (0.000, 0.500, 0.646), Rh at (0.500, 0.500, 0.000), Pb at (0.000, 0.500, 0.875) and Pb at (0.500, 0.500, 0.500).

***

[18]
Computed, not measured: a geometry-optimized ScBeNb structure at the GGA-PBE level of DFT.

Its volume is 16.61 Å³ per atom. The formation energy from the elements is 0.02 eV per atom. The value obtained for the energy above the lowest structure with this stoichiometry is 24.2 meV per atom. The total magnetic moment is 0.000 μB per atom.

The structure belongs to space group C2/m (No. 12); the cell edges are 8.421, 5.484 and 5.588 Å and the angles 90.00°, 129.42° and 90.00°. Symmetry generates all atoms from Sc at (0.197, 0.000, 0.062), Be at (0.000, 0.196, 0.500) and Nb at (0.153, 0.500, 0.310).

***

[19]
Computed, not measured: a geometry-optimized PrCdIn structure at the GGA-PBE level of DFT.

Its volume is 27.39 Å³ per atom. The formation energy from the elements is -0.29 eV per atom. The total magnetic moment is 0.000 μB per atom.

The structure belongs to space group I4mm (No. 107); the cell edges are 3.689, 3.689 and 12.078 Å and the angles 90.00°, 90.00° and 90.00°. Symmetry generates all atoms from Pr at (0.000, 0.000, 0.000), Cd at (0.000, 0.000, 0.322) and In at (0.000, 0.000, 0.682).

***

[20]
Computed, not measured: a geometry-optimized Rb2HgSeO4 structure at the GGA-PBE level of DFT.

Its volume is 25.90 Å³ per atom. The total magnetic moment is 0.000 μB per atom. Its uncorrected formation energy is -1.1252 eV/atom.

The structure belongs to space group I-4 (No. 82); the cell edges are 7.536, 7.536 and 7.295 Å and the angles 90.00°, 90.00° and 90.00°. Symmetry generates all atoms from Rb at (0.000, 0.000, 0.000), Rb at (0.000, 0.500, 0.250), Hg at (0.000, 0.000, 0.500), Se at (0.000, 0.500, 0.750) and O at (0.089, 0.657, 0.886).

***

[21]
Computed, not measured: a geometry-optimized PmTl2SnTe4 structure at the GGA-PBE level of DFT.

Its volume is 35.40 Å³ per atom. The total magnetic moment is 0.000 μB per atom. Its uncorrected formation energy is -0.6445 eV/atom.

The structure belongs to space group P2/m (No. 10); the cell edges are 7.991, 4.456 and 8.377 Å and the angles 90.00°, 108.30° and 90.00°. Symmetry generates all atoms from Pm at (0.000, 0.000, 0.000), Tl at (0.000, 0.500, 0.500), Tl at (0.500, 0.000, 0.500), Sn at (0.500, 0.500, 0.000), Te at (0.243, 0.500, 0.220) and Te at (0.259, 0.000, 0.780).

***

[22]
Computed, not measured: a geometry-optimized PtS2O structure at the GGA-PBE level of DFT.

Its volume is 17.36 Å³ per atom. The total magnetic moment is 0.000 μB per atom. Its uncorrected formation energy is 0.3604 eV/atom.

The structure belongs to space group I-42d (No. 122); the cell edges are 4.950, 4.950 and 11.339 Å and the angles 90.00°, 90.00° and 90.00°. Symmetry generates all atoms from Pt at (0.000, 0.000, 0.000), S at (0.234, 0.250, 0.625) and O at (0.000, 0.000, 0.500).

***

[23]
Computed, not measured: a geometry-optimized La2Zn4SiGe3 structure at the GGA-PBE level of DFT.

Its volume is 19.98 Å³ per atom. The total magnetic moment is 0.000 μB per atom. Its uncorrected formation energy is -0.4373 eV/atom.

The structure belongs to space group P-4m2 (No. 115); the cell edges are 4.453, 4.453 and 10.075 Å and the angles 90.00°, 90.00° and 90.00°. Symmetry generates all atoms from La at (0.000, 0.500, 0.242), Zn at (0.000, 0.000, 0.500), Zn at (0.000, 0.500, 0.879), Zn at (0.500, 0.500, 0.500), Si at (0.500, 0.500, 0.000), Ge at (0.000, 0.000, 0.000) and Ge at (0.000, 0.500, 0.635).

***

Number 1: final energy -5.524 eV per atom. Number 2: final energy -5.706 eV per atom. Number 3: final energy -7.114 eV per atom. Number 4: final energy -1.853 eV per atom. Number 5: final energy -8.661 eV per atom. Number 6: final energy -5.481 eV per atom. Number 7: final energy -6.404 eV per atom. Number 8: final energy -3.085 eV per atom. Number 9: final energy -4.212 eV per atom. Number 10: final energy -5.258 eV per atom. Number 11: final energy -4.620 eV per atom. Number 12: final energy -5.210 eV per atom. Number 13: final energy -3.438 eV per atom. Number 14: final energy -4.518 eV per atom. Number 15: final energy -3.247 eV per atom. Number 16: final energy -5.090 eV per atom. Number 17: final energy -6.032 eV per atom. Number 18: final energy -6.693 eV per atom. Number 19: final energy -3.102 eV per atom. Number 20: final energy -4.319 eV per atom. Number 21: final energy -3.901 eV per atom. Number 22: final energy -4.453 eV per atom. Number 23: final energy -3.860 eV per atom.